# 1
12
Lattice="-2.903 0.408 -6.042 0.542 -0.950 -6.627 -4.205 -11.210 1.264" Properties=species:S:1:pos:R:3 comment="CdHgGeS3 (GGA-PBE, optimized geometry)" de_polymorph_mev_per_atom=10 space_group="Cmcm, No. 63" pbc="T T T"
Hg -2.170 -3.059 -5.684
Hg -4.397 -8.693 -5.721
S -5.200 -8.878 -10.034
S -2.674 -4.976 -4.203
S -1.366 -2.875 -1.372
S -5.370 -10.718 -6.758
S -1.196 -1.035 -4.648
S -3.892 -6.776 -7.202
Cd -2.102 -5.605 0.632
Cd 0.000 0.000 0.000
Ge -2.845 -3.215 -9.310
Ge -3.721 -8.538 -2.095

---

# 2
9
Lattice="-1.755 3.335 -1.603 -6.598 -2.505 2.011 3.882 4.237 4.564" Properties=species:S:1:pos:R:3 comment="Tb2PrMg3Ir3 (GGA-PBE, optimized geometry)" m_tot_mub_per_cell=0.01 dft_energy_ev_per_cell=-51.02 space_group="Amm2, No. 38" pbc="T T T"
Pr -1.121 0.715 2.715
Tb 2.295 2.506 2.701
Tb -3.903 -1.481 1.191
Ir -4.030 1.383 2.058
Ir -2.701 1.723 6.539
Ir -0.448 3.688 2.931
Mg 1.397 5.287 4.237
Mg -2.938 2.981 4.186
Mg -6.518 0.194 2.308

---

# 3
3
Lattice="-4.253 0.225 0.434 -2.402 1.502 -3.210 -2.521 -2.660 -2.213" Properties=species:S:1:pos:R:3 comment="LiLuPt (GGA-PBE, optimized geometry)" m_tot_mub_per_cell=0.00 dft_energy_ev_per_cell=-14.03 space_group="F-43m, No. 216" pbc="T T T"
Pt -6.882 -0.699 -3.742
Lu -2.294 -0.233 -1.247
Li 0.000 0.000 0.000